No. 1
The following is a PBE-GGA calculation of a relaxed Mg8Sn4Pb crystal, from the Alexandria database.

Results
Formation energy   -121.4 meV/atom

```
data_Mg8Sn4Pb
_cell_length_a 6.993
_cell_length_b 6.993
_cell_length_c 6.993
_cell_angle_alpha 90.00
_cell_angle_beta 90.00
_cell_angle_gamma 90.00
_symmetry_space_group_name_H-M 'P m -3 m'
_symmetry_Int_Tables_number 221
_symmetry_space_group_name_Hall '-P 4 2 3'
loop_
_atom_site_label
_atom_site_type_symbol
_atom_site_fract_x
_atom_site_fract_y
_atom_site_fract_z
Mg1 Mg 0.243 0.243 0.243
Sn1 Sn 0.000 0.000 0.000
Sn2 Sn 0.000 0.500 0.500
Pb1 Pb 0.500 0.500 0.500
```

=====

No. 2
The following is a PBE-GGA calculation of a relaxed Li2RhAuN crystal, from the Alexandria database.

Results
Uncorrected formation energy   -337 meV per atom

```
data_Li2RhAuN
_cell_length_a 4.148
_cell_length_b 4.148
_cell_length_c 3.786
_cell_angle_alpha 90.00
_cell_angle_beta 90.00
_cell_angle_gamma 90.00
_symmetry_space_group_name_H-M 'P 4/m m m'
_symmetry_Int_Tables_number 123
_symmetry_space_group_name_Hall '-P 4 2'
loop_
_atom_site_label
_atom_site_type_symbol
_atom_site_fract_x
_atom_site_fract_y
_atom_site_fract_z
Li1 Li 0.000 0.500 0.000
Rh1 Rh 0.000 0.000 0.500
Au1 Au 0.500 0.500 0.500
N1 N 0.000 0.000 0.000
```

=====

No. 3
The following is a PBE-GGA calculation of a relaxed Th4TeAsSe2 crystal, from the Alexandria database.

Results
Uncorrected formation energy   -1351 meV per atom

```
data_Th4TeAsSe2
_cell_length_a 6.072
_cell_length_b 6.072
_cell_length_c 12.100
_cell_angle_alpha 90.00
_cell_angle_beta 90.00
_cell_angle_gamma 90.00
_symmetry_space_group_name_H-M 'I -4 m 2'
_symmetry_Int_Tables_number 119
_symmetry_space_group_name_Hall 'I -4 -2'
loop_
_atom_site_label
_atom_site_type_symbol
_atom_site_fract_x
_atom_site_fract_y
_atom_site_fract_z
Th1 Th 0.000 0.000 0.242
Th2 Th 0.000 0.500 0.003
Te1 Te 0.000 0.000 0.500
As1 As 0.000 0.500 0.250
Se1 Se 0.000 0.000 0.000
Se2 Se 0.000 0.500 0.750
```

=====

no.,calculated density (g/cm3)
1,4.26
2,8.35
3,9.59